[1]
Density functional theory data (PBE) for a relaxed structure of RbBa3Sn8.

Properties
ΔH_f (0 K): -0.452 eV per atom
Total magnetic moment: 0.00 Bohr magnetons per cell

The structure in CIF format:
```
data_RbBa3Sn8
_chemical_formula_sum 'Rb1 Ba3 Sn8'
_space_group_name_H-M_alt 'P 1'
_space_group_IT_number 1
_space_group_name_Hall 'P 1'
_cell_length_a 6.543
_cell_length_b 6.543
_cell_length_c 10.592
_cell_angle_alpha 90.00
_cell_angle_beta 90.00
_cell_angle_gamma 120.00
loop_
_atom_site_label
_atom_site_type_symbol
_atom_site_fract_x
_atom_site_fract_y
_atom_site_fract_z
Sn1 Sn 0.164 0.836 0.247
Sn2 Sn 0.333 0.667 0.510
Sn3 Sn 0.507 0.493 0.751
Sn4 Sn 0.987 0.493 0.751
Sn5 Sn 0.507 0.013 0.751
Sn6 Sn 0.673 0.836 0.247
Sn7 Sn 0.164 0.327 0.247
Sn8 Sn 0.333 0.667 0.004
Ba1 Ba 0.000 0.000 0.927
Ba2 Ba 0.667 0.333 0.437
Ba3 Ba 0.667 0.333 0.064
Rb1 Rb 0.000 0.000 0.563
```

---

[2]
Density functional theory data (PBE) for a relaxed structure of Rb2Ba2Sn.

Properties
ΔH_f (0 K): -0.034 eV per atom
Total magnetic moment: 0.00 Bohr magnetons per cell

The structure in CIF format:
```
data_Rb2Ba2Sn
_chemical_formula_sum 'Rb4 Ba4 Sn2'
_space_group_name_H-M_alt 'P 1'
_space_group_IT_number 1
_space_group_name_Hall 'P 1'
_cell_length_a 9.274
_cell_length_b 9.274
_cell_length_c 7.633
_cell_angle_alpha 90.00
_cell_angle_beta 90.00
_cell_angle_gamma 90.00
loop_
_atom_site_label
_atom_site_type_symbol
_atom_site_fract_x
_atom_site_fract_y
_atom_site_fract_z
Rb1 Rb 0.679 0.821 0.500
Rb2 Rb 0.179 0.679 0.500
Rb3 Rb 0.321 0.179 0.500
Rb4 Rb 0.821 0.321 0.500
Sn1 Sn 0.000 0.000 0.000
Sn2 Sn 0.500 0.500 0.000
Ba1 Ba 0.667 0.167 0.000
Ba2 Ba 0.167 0.333 0.000
Ba3 Ba 0.833 0.667 0.000
Ba4 Ba 0.333 0.833 0.000
```

---

[3]
Density functional theory data (PBE) for a relaxed structure of RbBa2Sn2.

Properties
ΔH_f (0 K): -0.131 eV per atom
Total magnetic moment: 0.00 Bohr magnetons per cell
Energy above the most stable polymorph in this dataset: 298 meV per atom

The structure in CIF format:
```
data_RbBa2Sn2
_chemical_formula_sum 'Rb1 Ba2 Sn2'
_space_group_name_H-M_alt 'P 1'
_space_group_IT_number 1
_space_group_name_Hall 'P 1'
_cell_length_a 6.202
_cell_length_b 6.202
_cell_length_c 8.007
_cell_angle_alpha 67.21
_cell_angle_beta 67.21
_cell_angle_gamma 90.00
loop_
_atom_site_label
_atom_site_type_symbol
_atom_site_fract_x
_atom_site_fract_y
_atom_site_fract_z
Sn1 Sn 0.250 0.750 0.500
Sn2 Sn 0.750 0.250 0.500
Ba1 Ba 0.349 0.349 0.301
Ba2 Ba 0.651 0.651 0.699
Rb1 Rb 0.000 0.000 0.000
```

---

> Which of these has the lowest ΔH_f (0 K)?

RbBa3Sn8

---

> Which value of ΔH_f (0 K) does entry 1 give?

-0.452 eV per atom

---

> Which value of ΔH_f (0 K) does entry 3 give?

-0.131 eV per atom